(1)
# PBE+U Li3Ac3NiO8, optimized geometry
data_Li3Ac3NiO8
_space_group_name_H-M_alt 'P -1'
_space_group_IT_number 2
_cell_length_a 5.813
_cell_length_b 6.472
_cell_length_c 6.483
_cell_angle_alpha 65.65
_cell_angle_beta 82.17
_cell_angle_gamma 83.95
loop_
_space_group_symop_operation_xyz
'x,y,z'
'-x,-y,-z'
loop_
_atom_site_label
_atom_site_type_symbol
_atom_site_fract_x
_atom_site_fract_y
_atom_site_fract_z
_atom_site_occupancy
Li1 Li 0.000 0.000 0.000 1
Li2 Li 0.000 0.500 0.500 1
Li3 Li 0.500 0.000 0.500 1
Ac1 Ac 0.000 0.500 0.000 1
Ac2 Ac 0.500 0.000 0.000 1
Ac3 Ac 0.500 0.500 0.500 1
Ni1 Ni 0.000 0.000 0.500 1
O1 O 0.210 0.248 0.765 1
O2 O 0.231 0.139 0.271 1
O3 O 0.233 0.769 0.637 1
O4 O 0.249 0.670 0.188 1
# Electronic total energy in eV/atom: -6.123
# Calculated density in g/cm³: 6.7

***

(2)
# PBE+U LiAc2NiO5, optimized geometry
data_LiAc2NiO5
_space_group_name_H-M_alt 'P 4/m b m'
_space_group_IT_number 127
_space_group_name_Hall '-P 4 2ab'
_cell_length_a 7.149
_cell_length_b 7.149
_cell_length_c 5.653
_cell_angle_alpha 90.00
_cell_angle_beta 90.00
_cell_angle_gamma 90.00
loop_
_atom_site_label
_atom_site_type_symbol
_atom_site_fract_x
_atom_site_fract_y
_atom_site_fract_z
_atom_site_occupancy
Li1 Li 0.000 0.000 0.000 1
Ac1 Ac 0.181 0.319 0.500 1
Ni1 Ni 0.000 0.500 0.000 1
O1 O 0.000 0.000 0.500 1
O2 O 0.126 0.626 0.233 1
# Electronic total energy in eV/atom: -6.313
# Calculated density in g/cm³: 6.9

***

(3)
# PBE+U LiAc3Ni2O9, optimized geometry
data_LiAc3Ni2O9
_space_group_name_H-M_alt 'P -3 m 1'
_space_group_IT_number 164
_space_group_name_Hall '-P 3 2"'
_cell_length_a 5.5156
_cell_length_b 5.5156
_cell_length_c 6.7819
_cell_angle_alpha 90.00
_cell_angle_beta 90.00
_cell_angle_gamma 120.00
loop_
_atom_site_label
_atom_site_type_symbol
_atom_site_fract_x
_atom_site_fract_y
_atom_site_fract_z
_atom_site_occupancy
Li1 Li 0.0000 0.0000 0.0000 1
Ac1 Ac 0.0000 0.0000 0.5000 1
Ac2 Ac 0.3333 0.6667 0.1643 1
Ni1 Ni 0.3333 0.6667 0.6677 1
O1 O 0.0000 0.5000 0.5000 1
O2 O 0.1741 0.3483 0.8243 1
# Electronic total energy in eV/atom: -6.422
# Calculated density in g/cm³: 8.8

***

(4)
# PBE+U Li2Ac2NiO6, optimized geometry
data_Li2Ac2NiO6
_space_group_name_H-M_alt 'R -3 m'
_space_group_IT_number 166
_space_group_name_Hall '-R 3 2"'
_cell_length_a 5.6145
_cell_length_b 5.6145
_cell_length_c 14.3524
_cell_angle_alpha 90.00
_cell_angle_beta 90.00
_cell_angle_gamma 120.00
loop_
_atom_site_label
_atom_site_type_symbol
_atom_site_fract_x
_atom_site_fract_y
_atom_site_fract_z
_atom_site_occupancy
Li1 Li 0.0000 0.0000 0.0705 1
Ac1 Ac 0.0000 0.0000 0.2671 1
Ni1 Ni 0.0000 0.0000 0.5000 1
O1 O 0.0264 0.5132 0.2471 1
# Electronic total energy in eV/atom: -6.125
# Calculated density in g/cm³: 7.9

***

(5)
# PBE+U Li2AcNiO4, optimized geometry
data_Li2AcNiO4
_space_group_name_H-M_alt 'C m c m'
_space_group_IT_number 63
_space_group_name_Hall '-C 2c 2'
_cell_length_a 3.457
_cell_length_b 11.902
_cell_length_c 9.813
_cell_angle_alpha 90.00
_cell_angle_beta 90.00
_cell_angle_gamma 90.00
loop_
_atom_site_label
_atom_site_type_symbol
_atom_site_fract_x
_atom_site_fract_y
_atom_site_fract_z
_atom_site_occupancy
Li1 Li 0.000 0.104 0.039 1
Ac1 Ac 0.000 0.426 0.250 1
Ni1 Ni 0.000 0.304 0.750 1
O1 O 0.000 0.108 0.250 1
O2 O 0.000 0.194 0.621 1
O3 O 0.000 0.500 0.000 1
# Electronic total energy in eV/atom: -5.569
# Calculated density in g/cm³: 6.0

***

(6)
# PBE+U LiAc2NiO6, optimized geometry
data_LiAc2NiO6
_space_group_name_H-M_alt 'F m -3 m'
_space_group_IT_number 225
_space_group_name_Hall '-F 4 2 3'
_cell_length_a 7.811
_cell_length_b 7.811
_cell_length_c 7.811
_cell_angle_alpha 90.00
_cell_angle_beta 90.00
_cell_angle_gamma 90.00
loop_
_atom_site_label
_atom_site_type_symbol
_atom_site_fract_x
_atom_site_fract_y
_atom_site_fract_z
_atom_site_occupancy
Li1 Li 0.000 0.000 0.000 1
Ac1 Ac 0.250 0.250 0.250 1
Ni1 Ni 0.000 0.000 0.500 1
O1 O 0.000 0.000 0.260 1
# Electronic total energy in eV/atom: -6.415
# Calculated density in g/cm³: 8.6